# 1
## Pr5Tl2Cd (PBE)

Data for a relaxed Pr5Tl2Cd crystal.

Properties
Magnetization, μB per atom: 0.0000
Formation enthalpy at 0 K, meV/atom: -255
Space group: No. 139
Electronic total energy, eV/cell: -31.584

Unit cell a=7.2478 b=7.2478 c=6.9342 alpha=121.53 beta=121.53 gamma=89.98
With the nearest neighbours (Å) after each atom.
Fractional positions:
Pr1 0.7224 0.7224 0.4446  8 Pr 3.47, 4 Tl 3.62
Pr2 0.7220 0.2222 0.9442  6 Pr 3.47-3.63, 2 Cd 3.47, 4 Tl 3.47
Pr3 0.2223 0.2222 0.9444  6 Pr 3.47-3.62, 4 Tl 3.47, 2 Cd 3.47
Pr4 0.7219 0.7219 0.9440  4 Tl 3.47, 2 Cd 3.47, 6 Pr 3.47-3.63
Pr5 0.2222 0.7221 0.9443  6 Pr 3.47-3.62, 2 Cd 3.47, 4 Tl 3.47
Tl1 0.7223 0.2221 0.4442  10 Pr 3.47-3.62, 2 Cd 3.62-3.63
Tl2 0.2221 0.7222 0.4442  10 Pr 3.47-3.62, 2 Cd 3.62
Cd1 0.2218 0.2219 0.4440  8 Pr 3.47, 4 Tl 3.62-3.63



# 2
## La2BiPdC (PBE)

Data for a relaxed La2BiPdC crystal.

Properties
Magnetization, μB per atom: 0.0000
Formation enthalpy at 0 K, meV/atom: -500
Space group: No. 123
Electronic total energy, eV/cell: -30.655

Unit cell a=5.4480 b=5.4480 c=4.1123 alpha=90.00 beta=90.00 gamma=90.00
With the nearest neighbours (Å) after each atom.
Fractional positions:
C1 0.0000 0.0000 0.0000  2 Pd 2.06
La1 0.0000 0.5000 0.0000  2 C 2.72
La2 0.5000 0.0000 0.0000  2 C 2.72
Pd1 0.0000 0.0000 0.5000  2 C 2.06
Bi1 0.5000 0.5000 0.5000  8 La 3.41



# 3
## K2NaHg6Bi (PBE)

Data for a relaxed K2NaHg6Bi crystal.

Properties
Magnetization, μB per atom: 0.0000
Formation enthalpy at 0 K, meV/atom: -44
Space group: No. 225
Electronic total energy, eV/cell: -9.644

Unit cell a=8.3813 b=8.3813 c=8.3814 alpha=60.00 beta=60.00 gamma=90.00
With the nearest neighbours (Å) after each atom.
Fractional positions:
Hg1 0.7423 0.2577 0.0000  1 Na 2.87, 1 Bi 3.05
Hg2 0.2577 0.7423 0.0000  1 Na 2.87, 1 Bi 3.05
Hg3 0.7423 0.7423 0.0000  1 Na 2.87, 1 Bi 3.05
Hg4 0.2577 0.2577 0.0000  1 Na 2.87, 1 Bi 3.05
Hg5 0.2577 0.2577 0.4846  1 Na 2.87, 1 Bi 3.05
Hg6 0.7423 0.7423 0.5154  1 Na 2.87, 1 Bi 3.05
Bi1 0.0000 0.0000 0.0000  6 Hg 3.05
Na1 0.5000 0.5000 0.0000  6 Hg 2.87
K1 0.2500 0.7500 0.5000  12 Hg 4.19
K2 0.7500 0.2500 0.5000  12 Hg 4.19



# 4
## CaHf3B (PBE)

Data for a relaxed CaHf3B crystal.

Properties
Magnetization, μB per atom: 0.0002
Relative energy among the computed polymorphs, eV per atom: 0.0000
Formation enthalpy at 0 K, meV/atom: 136
Space group: No. 221
Electronic total energy, eV/cell: -37.859

Unit cell a=4.7757 b=4.7757 c=4.7757 alpha=90.00 beta=90.00 gamma=90.00
With the nearest neighbours (Å) after each atom.
Fractional positions:
Ca1 0.5000 0.5000 0.5000  12 Hf 3.38
Hf1 0.0000 0.0000 0.5000  2 B 2.39
Hf2 0.0000 0.5000 0.0000  2 B 2.39
Hf3 0.5000 0.0000 0.0000  2 B 2.39
B1 0.0000 0.0000 0.0000  6 Hf 2.39



# 5
## LuZrTl2 (PBE)

Data for a relaxed LuZrTl2 crystal.

Properties
Magnetization, μB per atom: 0.0597
Relative energy among the computed polymorphs, eV per atom: 0.0328
Formation enthalpy at 0 K, meV/atom: -61
Space group: No. 225
Electronic total energy, eV/cell: -18.046

Unit cell a=5.1752 b=5.1752 c=5.1752 alpha=60.00 beta=60.00 gamma=60.00
With the nearest neighbours (Å) after each atom.
Fractional positions:
Tl1 0.2500 0.2500 0.2500  4 Zr 3.17, 4 Lu 3.17
Tl2 0.7500 0.7500 0.7500  4 Zr 3.17, 4 Lu 3.17
Zr1 0.5000 0.5000 0.5000  8 Tl 3.17
Lu1 0.0000 0.0000 0.0000  8 Tl 3.17



# 6
## Mn2CdIr (PBE)

Data for a relaxed Mn2CdIr crystal.

Properties
Magnetization, μB per atom: 1.9103
Formation enthalpy at 0 K, meV/atom: 237
Space group: No. 12
Electronic total energy, eV/cell: -27.166

Unit cell a=4.6886 b=4.6886 c=5.0166 alpha=79.68 beta=79.68 gamma=36.21
With the nearest neighbours (Å) after each atom.
Fractional positions:
Mn1 0.5090 0.5090 0.4786  3 Ir 2.67-2.76, 4 Mn 2.75-2.91, 3 Cd 2.75-2.85
Mn2 0.9910 0.9910 0.0214  3 Ir 2.67-2.76, 4 Mn 2.75-2.91, 3 Cd 2.75-2.85
Ir1 0.2500 0.2500 0.2500  6 Mn 2.67-2.76, 4 Cd 2.90, 2 Ir 2.91
Cd1 0.7500 0.7500 0.7500  6 Mn 2.75-2.85, 4 Ir 2.90, 2 Cd 2.91



Q: Which value of magnetization does entry 5 give?
A: 0.0597 μB per atom



Q: Which formula does entry 6 have?
A: Mn2CdIr



Q: electronic total energy of number 6 (Mn2CdIr)?
A: -27.166 eV/cell